(1)
! PBE Zr2AlTcF, relaxed; values from VASP
&SYSTEM
  ibrav = 0, nat = 5, ntyp = 4
/
ATOMIC_SPECIES
F 19.00 F.upf
Tc 98.00 Tc.upf
Zr 91.22 Zr.upf
Al 26.98 Al.upf
CELL_PARAMETERS angstrom
5.087 0.000 0.000
0.000 5.087 0.000
0.000 0.000 4.016
ATOMIC_POSITIONS crystal
F 0.000 0.000 0.500
Tc 0.000 0.000 0.000
Zr 0.000 0.500 0.000
Zr 0.500 0.000 0.000
Al 0.500 0.500 0.500
! VASP energy in eV per formula unit: -33.253
! Symmetry: P4/mmm



(2)
! PBE AlTeF6, relaxed; values from VASP
&SYSTEM
  ibrav = 0, nat = 8, ntyp = 3
/
ATOMIC_SPECIES
Al 26.98 Al.upf
Te 127.60 Te.upf
F 19.00 F.upf
CELL_PARAMETERS angstrom
5.139 0.178 0.349
2.694 4.545 -0.194
2.917 1.215 5.187
ATOMIC_POSITIONS crystal
Al 0.000 0.000 0.000
Te 0.500 0.500 0.500
F 0.150 0.309 0.777
F 0.820 0.061 0.800
F 0.591 0.287 0.215
F 0.180 0.939 0.200
F 0.850 0.691 0.223
F 0.409 0.713 0.785
! VASP energy in eV per formula unit: -38.472
! Symmetry: P-1



(3)
! PBE AlTe3F, relaxed; values from VASP
&SYSTEM
  ibrav = 0, nat = 5, ntyp = 3
/
ATOMIC_SPECIES
Te 127.60 Te.upf
Al 26.98 Al.upf
F 19.00 F.upf
CELL_PARAMETERS angstrom
4.986 0.000 0.000
0.000 4.986 0.000
0.000 0.000 4.986
ATOMIC_POSITIONS crystal
Te 0.000 0.500 0.000
Te 0.000 0.000 0.500
Te 0.500 0.000 0.000
Al 0.500 0.500 0.500
F 0.000 0.000 0.000
! VASP energy in eV per formula unit: -14.638
! Symmetry: Pm-3m



(4)
! PBE AlTe3F, relaxed; values from VASP
&SYSTEM
  ibrav = 0, nat = 5, ntyp = 3
/
ATOMIC_SPECIES
Te 127.60 Te.upf
Al 26.98 Al.upf
F 19.00 F.upf
CELL_PARAMETERS angstrom
5.202 0.000 0.000
0.000 5.202 0.000
0.000 0.000 5.202
ATOMIC_POSITIONS crystal
Te 0.000 0.500 0.000
Te 0.000 0.000 0.500
Te 0.500 0.000 0.000
Al 0.000 0.000 0.000
F 0.500 0.500 0.500
! VASP energy in eV per formula unit: -14.558
! Symmetry: Pm-3m



Per-record formation energy (no corrections), kJ/mol of formula units: -17, -1964, 39, 46